(1)
The following is a DFT calculation (PBE-GGA) of NbTlO4 after structural relaxation.

Summary:
Uncorrected formation energy (eV/atom): -1.477
Crystal system: tetragonal
SG: P4/mmm, No. 123
V (Å³/cell): 70.6
E (eV/atom): -6.85

a b c (Å): 3.6214 3.6214 5.3824
angles (deg): 90.00 90.00 90.00
Sites, in units of the cell vectors:
1 O 0.0000 0.5000 0.7226
2 O 0.5000 0.0000 0.7226
3 O 0.0000 0.5000 0.2774
4 O 0.5000 0.0000 0.2774
5 Nb 0.5000 0.5000 0.5000
6 Tl 0.0000 0.0000 0.0000

---

(2)
The following is a DFT calculation (PBE-GGA) of NbTl3O after structural relaxation.

Summary:
Uncorrected formation energy (eV/atom): 1.052
Crystal system: cubic
SG: Pm-3m, No. 221
V (Å³/cell): 171.1
Distance to the lowest polymorph of the same formula (meV/atom): 554
E (eV/atom): -3.37

a b c (Å): 5.5519 5.5519 5.5519
angles (deg): 90.00 90.00 90.00
Sites, in units of the cell vectors:
1 Nb 0.0000 0.0000 0.0000
2 Tl 0.0000 0.5000 0.0000
3 Tl 0.5000 0.0000 0.0000
4 Tl 0.0000 0.0000 0.5000
5 O 0.5000 0.5000 0.5000

---

(3)
The following is a DFT calculation (PBE-GGA) of NbTlO3 after structural relaxation.

Summary:
Uncorrected formation energy (eV/atom): -2.040
Crystal system: cubic
SG: Fd-3m, No. 227
V (Å³/cell): 316.9
E (eV/atom): -7.50

a b c (Å): 7.6529 7.6529 7.6529
angles (deg): 60.00 60.00 60.00
Sites, in units of the cell vectors:
1 O 0.1857 0.8143 0.8143
2 O 0.0643 0.4357 0.4357
3 O 0.8143 0.1857 0.1857
4 O 0.4357 0.0643 0.4357
5 O 0.1857 0.8143 0.1857
6 O 0.0643 0.4357 0.0643
7 O 0.1857 0.1857 0.8143
8 O 0.8143 0.1857 0.8143
9 O 0.4357 0.4357 0.0643
10 O 0.0643 0.0643 0.4357
11 O 0.4357 0.0643 0.0643
12 O 0.8143 0.8143 0.1857
13 Tl 0.6250 0.6250 0.6250
14 Tl 0.6250 0.6250 0.1250
15 Tl 0.1250 0.6250 0.6250
16 Tl 0.6250 0.1250 0.6250
17 Nb 0.1250 0.1250 0.1250
18 Nb 0.6250 0.1250 0.1250
19 Nb 0.1250 0.1250 0.6250
20 Nb 0.1250 0.6250 0.1250

---

(4)
The following is a DFT calculation (PBE-GGA) of NbTlO3 after structural relaxation.

Summary:
Uncorrected formation energy (eV/atom): -1.556
Crystal system: trigonal
SG: R3m, No. 160
V (Å³/cell): 87.6
E (eV/atom): -7.02

a b c (Å): 4.4409 4.4409 4.4409
angles (deg): 90.18 90.18 90.18
Sites, in units of the cell vectors:
1 O 0.1804 0.7062 0.7062
2 O 0.7062 0.7062 0.1804
3 O 0.7062 0.1804 0.7062
4 Tl 0.3395 0.3395 0.3395
5 Nb 0.9427 0.9427 0.9427

---

(5)
The following is a DFT calculation (PBE-GGA) of NbTlO2 after structural relaxation.

Summary:
Uncorrected formation energy (eV/atom): -1.475
Crystal system: tetragonal
SG: I-42d, No. 122
V (Å³/cell): 165.9
Distance to the lowest polymorph of the same formula (meV/atom): 102
E (eV/atom): -7.06

a b c (Å): 5.6337 5.6337 6.5722
angles (deg): 64.62 64.62 90.00
Sites, in units of the cell vectors:
1 O 0.4249 0.1250 0.2500
2 O 0.8750 0.6749 0.7500
3 O 0.3251 0.6250 0.2500
4 O 0.3750 0.5751 0.7500
5 Nb 0.2500 0.7500 0.5000
6 Nb 0.5000 0.5000 0.0000
7 Tl 0.0000 0.0000 0.0000
8 Tl 0.7500 0.2500 0.5000

---

(6)
The following is a DFT calculation (PBE-GGA) of Nb4TlO8 after structural relaxation.

Summary:
Uncorrected formation energy (eV/atom): -2.166
Crystal system: monoclinic
SG: C2/m, No. 12
V (Å³/cell): 174.5
E (eV/atom): -8.50

a b c (Å): 3.0368 7.7084 7.7562
angles (deg): 85.99 78.71 78.64
Sites, in units of the cell vectors:
1 O 0.8130 0.3612 0.0129
2 O 0.1746 0.3032 0.3477
3 O 0.4812 0.3656 0.6720
4 O 0.5503 0.6377 0.2617
5 O 0.8569 0.7002 0.5861
6 O 0.8783 0.9604 0.2830
7 O 0.2185 0.6421 0.9209
8 O 0.1532 0.0429 0.6507
9 Tl 0.5155 0.0021 0.9669
10 Nb 0.6801 0.1515 0.4882
11 Nb 0.1766 0.4859 0.1608
12 Nb 0.3513 0.8519 0.4455
13 Nb 0.8548 0.5175 0.7729

---

(7)
The following is a DFT calculation (PBE-GGA) of Nb3TlO8 after structural relaxation.

Summary:
Uncorrected formation energy (eV/atom): -2.292
Crystal system: trigonal
SG: P-3m1, No. 164
V (Å³/cell): 232.8
E (eV/atom): -8.31

a b c (Å): 5.9434 5.9434 7.6115
angles (deg): 90.00 90.00 120.00
Sites, in units of the cell vectors:
1 O 0.8428 0.6856 0.3450
2 O 0.1572 0.3144 0.6550
3 O 0.6856 0.8428 0.6550
4 O 0.1572 0.8428 0.6550
5 O 0.3333 0.6667 0.9683
6 O 0.3144 0.1572 0.3450
7 O 0.8428 0.1572 0.3450
8 O 0.6667 0.3333 0.0317
9 Nb 0.6667 0.3333 0.2657
10 Nb 0.0000 0.0000 0.5000
11 Nb 0.3333 0.6667 0.7343
12 Tl 0.0000 0.0000 0.0000

---

(8)
The following is a DFT calculation (PBE-GGA) of NbTlO3 after structural relaxation.

Summary:
Uncorrected formation energy (eV/atom): -1.903
Crystal system: monoclinic
SG: P2_1/m, No. 11
V (Å³/cell): 188.2
E (eV/atom): -7.36

a b c (Å): 3.0554 7.8824 7.9621
angles (deg): 90.00 101.13 90.00
Sites, in units of the cell vectors:
1 Tl 0.8498 0.2500 0.2017
2 Tl 0.1502 0.7500 0.7983
3 Nb 0.4002 0.7500 0.3022
4 Nb 0.5998 0.2500 0.6978
5 O 0.8715 0.5895 0.2452
6 O 0.4840 0.2500 0.4675
7 O 0.5160 0.7500 0.5325
8 O 0.8715 0.9105 0.2452
9 O 0.1285 0.4105 0.7548
10 O 0.1285 0.0895 0.7548

---

(9)
The following is a DFT calculation (PBE-GGA) of NbTlO3 after structural relaxation.

Summary:
Uncorrected formation energy (eV/atom): -1.177
Crystal system: hexagonal
SG: P6_3/mmc, No. 194
V (Å³/cell): 156.7
E (eV/atom): -6.64

a b c (Å): 3.5949 3.5949 14.0050
angles (deg): 90.00 90.00 120.00
Sites, in units of the cell vectors:
1 O 0.6667 0.3333 0.0538
2 O 0.0000 0.0000 0.7500
3 O 0.6667 0.3333 0.4462
4 O 0.3333 0.6667 0.5538
5 O 0.0000 0.0000 0.2500
6 O 0.3333 0.6667 0.9462
7 Nb 0.0000 0.0000 0.0000
8 Nb 0.0000 0.0000 0.5000
9 Tl 0.3333 0.6667 0.7500
10 Tl 0.6667 0.3333 0.2500

---

(10)
The following is a DFT calculation (PBE-GGA) of NbTlO3 after structural relaxation.

Summary:
Uncorrected formation energy (eV/atom): -2.047
Crystal system: triclinic
SG: P1, No. 1
V (Å³/cell): 640.0
E (eV/atom): -7.51

a b c (Å): 7.6849 7.6993 13.3216
angles (deg): 72.75 72.35 59.94
Sites, in units of the cell vectors:
1 Nb 0.0195 0.0026 0.0059
2 Nb 0.5218 0.4977 0.9880
3 Nb 0.2240 0.7695 0.7498
4 Nb 0.9935 0.9804 0.4930
5 Nb 0.4771 0.0140 0.4988
6 Nb 0.0078 0.5113 0.0077
7 Nb 0.7321 0.2648 0.2497
8 Nb 0.5096 0.4954 0.5090
9 O 0.7214 0.2206 0.9702
10 O 0.3959 0.5235 0.6585
11 O 0.4026 0.8981 0.6536
12 O 0.7235 0.5875 0.9729
13 O 0.6029 0.0782 0.3430
14 O 0.0960 0.5930 0.8485
15 O 0.5866 0.7125 0.4710
16 O 0.2158 0.7140 0.4688
17 O 0.2161 0.0875 0.4699
18 O 0.0998 0.2178 0.9645
19 O 0.5958 0.4596 0.3452
20 O 0.4079 0.2735 0.5269
21 O 0.2817 0.4118 0.0314
22 O 0.2819 0.7800 0.0288
23 O 0.9084 0.0327 0.1547
24 O 0.9621 0.0876 0.3472
25 O 0.7765 0.8994 0.5365
26 O 0.7744 0.2747 0.5324
27 O 0.5301 0.4081 0.1588
28 O 0.9066 0.7780 0.0370
29 O 0.0322 0.9024 0.6564
30 O 0.4761 0.5976 0.8421
31 O 0.0911 0.9614 0.8463
32 O 0.9120 0.3928 0.1554
33 Tl 0.5174 0.9987 0.0050
34 Tl 0.1459 0.3321 0.7535
35 Tl 0.6610 0.8457 0.7533
36 Tl 0.0008 0.4886 0.5079
37 Tl 0.7299 0.2584 0.7508
38 Tl 0.2994 0.7605 0.2446
39 Tl 0.8248 0.7318 0.2686
40 Tl 0.2607 0.2363 0.2448

---

(11)
The following is a DFT calculation (PBE-GGA) of Nb2TlO7 after structural relaxation.

Summary:
Uncorrected formation energy (eV/atom): -1.770
Crystal system: orthorhombic
SG: Imma, No. 74
V (Å³/cell): 305.2
E (eV/atom): -7.49

a b c (Å): 7.6017 7.6017 7.6017
angles (deg): 121.93 120.26 88.12
Sites, in units of the cell vectors:
1 O 0.4286 0.0534 0.7414
2 O 0.9130 0.6630 0.2500
3 O 0.8083 0.0583 0.7500
4 O 0.4286 0.6872 0.3752
5 O 0.1880 0.9466 0.8752
6 O 0.5714 0.9466 0.2586
7 O 0.0870 0.3370 0.7500
8 O 0.1880 0.3128 0.2414
9 O 0.8120 0.0534 0.1248
10 O 0.1917 0.9417 0.2500
11 O 0.5714 0.3128 0.6248
12 O 0.8120 0.6872 0.7586
13 O 0.4380 0.6880 0.7500
14 O 0.5620 0.3120 0.2500
15 Nb 0.5000 0.0000 0.0000
16 Nb 0.5000 0.0000 0.5000
17 Nb 0.5000 0.5000 0.5000
18 Nb 0.0000 0.0000 0.0000
19 Tl 0.0000 0.0000 0.5000
20 Tl 0.0000 0.5000 0.0000

---

(12)
The following is a DFT calculation (PBE-GGA) of Nb2TlO after structural relaxation.

Summary:
Uncorrected formation energy (eV/atom): 0.409
Crystal system: cubic
SG: Fm-3m, No. 225
V (Å³/cell): 67.3
Distance to the lowest polymorph of the same formula (meV/atom): 571
E (eV/atom): -6.46

a b c (Å): 4.5648 4.5648 4.5648
angles (deg): 60.00 60.00 60.00
Sites, in units of the cell vectors:
1 O 0.0000 0.0000 0.0000
2 Tl 0.5000 0.5000 0.5000
3 Nb 0.7500 0.7500 0.7500
4 Nb 0.2500 0.2500 0.2500

---

(13)
The following is a DFT calculation (PBE-GGA) of NbTlO3 after structural relaxation.

Summary:
Uncorrected formation energy (eV/atom): -1.588
Crystal system: hexagonal
SG: P6_3/mmc, No. 194
V (Å³/cell): 161.2
E (eV/atom): -7.05

a b c (Å): 3.6066 3.6066 14.3128
angles (deg): 90.00 90.00 120.00
Sites, in units of the cell vectors:
1 O 0.3333 0.6667 0.6168
2 O 0.0000 0.0000 0.2500
3 O 0.6667 0.3333 0.1168
4 O 0.3333 0.6667 0.8832
5 O 0.6667 0.3333 0.3832
6 O 0.0000 0.0000 0.7500
7 Tl 0.0000 0.0000 0.0000
8 Tl 0.0000 0.0000 0.5000
9 Nb 0.6667 0.3333 0.2500
10 Nb 0.3333 0.6667 0.7500

---

(14)
The following is a DFT calculation (PBE-GGA) of NbTlO2 after structural relaxation.

Summary:
Uncorrected formation energy (eV/atom): -0.826
Crystal system: trigonal
SG: R-3m, No. 166
V (Å³/cell): 70.1
Distance to the lowest polymorph of the same formula (meV/atom): 750
E (eV/atom): -6.41

a b c (Å): 7.6882 7.6882 7.6882
angles (deg): 24.76 24.76 24.76
Sites, in units of the cell vectors:
1 O 0.0840 0.0840 0.0840
2 O 0.9160 0.9160 0.9160
3 Nb 0.0000 0.0000 0.0000
4 Tl 0.5000 0.5000 0.5000

---

(15)
The following is a DFT calculation (PBE-GGA) of NbTlO2 after structural relaxation.

Summary:
Uncorrected formation energy (eV/atom): -0.376
Crystal system: cubic
SG: Fm-3m, No. 225
V (Å³/cell): 53.4
Distance to the lowest polymorph of the same formula (meV/atom): 1200
E (eV/atom): -5.96

a b c (Å): 4.2263 4.2263 4.2263
angles (deg): 60.00 60.00 60.00
Sites, in units of the cell vectors:
1 O 0.2500 0.2500 0.2500
2 O 0.7500 0.7500 0.7500
3 Nb 0.0000 0.0000 0.0000
4 Tl 0.5000 0.5000 0.5000

---

(16)
The following is a DFT calculation (PBE-GGA) of NbTlO2 after structural relaxation.

Summary:
Uncorrected formation energy (eV/atom): -1.577
Crystal system: trigonal
SG: R-3m, No. 166
V (Å³/cell): 63.9
Distance to the lowest polymorph of the same formula (meV/atom): 0
E (eV/atom): -7.16

a b c (Å): 7.9176 7.9176 7.9176
angles (deg): 22.53 22.53 22.53
Sites, in units of the cell vectors:
1 O 0.1162 0.1162 0.1162
2 O 0.8838 0.8838 0.8838
3 Nb 0.5000 0.5000 0.5000
4 Tl 0.0000 0.0000 0.0000

---

(17)
The following is a DFT calculation (PBE-GGA) of NbTlO3 after structural relaxation.

Summary:
Uncorrected formation energy (eV/atom): -2.031
Crystal system: tetragonal
SG: P4mm, No. 99
V (Å³/cell): 85.9
E (eV/atom): -7.49

a b c (Å): 5.7092 7.9170 3.8783
angles (deg): 60.67 90.00 136.15
Sites, in units of the cell vectors:
1 Tl 0.5208 0.1609 0.8644
2 O 0.3949 0.6609 0.3643
3 O 0.8950 0.1609 0.3644
4 O 0.8049 0.6611 0.8643
5 Nb 0.4890 0.6610 0.8643

---

(18)
The following is a DFT calculation (PBE-GGA) of Nb2Tl2O7 after structural relaxation.

Summary:
Uncorrected formation energy (eV/atom): -1.864
Crystal system: cubic
SG: Fd-3m, No. 227
V (Å³/cell): 313.5
Distance to the lowest polymorph of the same formula (meV/atom): 0
E (eV/atom): -7.28

a b c (Å): 7.6250 7.6250 7.6250
angles (deg): 60.00 60.00 60.00
Sites, in units of the cell vectors:
1 Tl 0.6250 0.1250 0.1250
2 Tl 0.1250 0.6250 0.1250
3 Tl 0.1250 0.1250 0.6250
4 Tl 0.1250 0.1250 0.1250
5 O 0.9368 0.5632 0.9368
6 O 0.5632 0.9368 0.9368
7 O 0.6868 0.3132 0.3132
8 O 0.5632 0.5632 0.9368
9 O 0.6868 0.3132 0.6868
10 O 0.3132 0.3132 0.6868
11 O 0.0000 0.0000 0.0000
12 O 0.3132 0.6868 0.3132
13 O 0.9368 0.5632 0.5632
14 O 0.5632 0.9368 0.5632
15 O 0.3132 0.6868 0.6868
16 O 0.2500 0.2500 0.2500
17 O 0.6868 0.6868 0.3132
18 O 0.9368 0.9368 0.5632
19 Nb 0.1250 0.6250 0.6250
20 Nb 0.6250 0.6250 0.1250
21 Nb 0.6250 0.6250 0.6250
22 Nb 0.6250 0.1250 0.6250

---

(19)
The following is a DFT calculation (PBE-GGA) of NbTlO3 after structural relaxation.

Summary:
Uncorrected formation energy (eV/atom): -2.030
Crystal system: monoclinic
SG: P2_1/m, No. 11
V (Å³/cell): 216.1
E (eV/atom): -7.49

a b c (Å): 5.9343 5.6615 8.2623
angles (deg): 90.00 128.87 90.00
Sites, in units of the cell vectors:
1 O 0.6401 0.2500 0.3472
2 O 0.2319 0.4925 0.9186
3 O 0.2319 0.0075 0.9186
4 O 0.3599 0.7500 0.6528
5 O 0.7681 0.9925 0.0814
6 O 0.7681 0.5075 0.0814
7 Nb 0.5534 0.2500 0.0964
8 Nb 0.4466 0.7500 0.9036
9 Tl 0.7436 0.2500 0.7095
10 Tl 0.2564 0.7500 0.2905

---

(20)
The following is a DFT calculation (PBE-GGA) of NbTlO3 after structural relaxation.

Summary:
Uncorrected formation energy (eV/atom): -1.986
Crystal system: orthorhombic
SG: Amm2, No. 38
V (Å³/cell): 74.0
E (eV/atom): -7.45

a b c (Å): 3.9911 4.3059 4.3059
angles (deg): 90.84 90.00 90.00
Sites, in units of the cell vectors:
1 O 0.5000 0.6568 0.8692
2 O 0.5000 0.1308 0.3432
3 O 0.0000 0.1498 0.8502
4 Nb 0.5000 0.0883 0.9117
5 Tl 0.0000 0.6024 0.3976